(1)
TaTi3N3 PBE relaxed; size of the total moment = 0.000 μB per atom; energy = -0.36403 hartree per atom
1.0
-3.088 -0.597 -2.956
4.814 -1.361 -4.754
-2.646 -5.119 3.798
Ta Ti N
2 6 6
direct
0.750 0.333 0.667 Ta
0.250 0.667 0.333 Ta
0.250 0.654 0.827 Ti
0.250 0.173 0.346 Ti
0.250 0.173 0.827 Ti
0.750 0.346 0.173 Ti
0.750 0.827 0.654 Ti
0.750 0.827 0.173 Ti
0.750 0.676 0.838 N
0.750 0.162 0.324 N
0.750 0.162 0.838 N
0.250 0.324 0.162 N
0.250 0.838 0.676 N
0.250 0.838 0.162 N

(2)
Ta3Ti2N2 PBE relaxed; size of the total moment = 0.000 μB per atom; energy = -0.37768 hartree per atom
1.0
2.876 0.000 0.000
-1.438 5.058 0.148
0.000 -2.075 6.591
Ta Ti N
3 2 2
direct
0.500 0.000 0.000 Ta
0.605 0.209 0.406 Ta
0.395 0.791 0.594 Ta
0.811 0.621 0.188 Ti
0.189 0.379 0.812 Ti
0.840 0.679 0.867 N
0.160 0.321 0.133 N

(3)
TaTi3N2 PBE relaxed; size of the total moment = 0.000 μB per atom; excess energy over the best structure of this formula in the dataset = 545 meV per atom; energy = -0.34409 hartree per atom
1.0
5.147 0.000 0.000
0.000 5.246 -0.018
0.000 -0.021 5.246
Ta Ti N
2 6 4
direct
0.250 0.571 0.429 Ta
0.750 0.429 0.571 Ta
0.250 0.926 0.074 Ti
0.750 0.074 0.926 Ti
0.250 0.072 0.575 Ti
0.750 0.928 0.425 Ti
0.250 0.425 0.928 Ti
0.750 0.575 0.072 Ti
0.000 0.249 0.249 N
0.500 0.751 0.751 N
0.000 0.751 0.751 N
0.500 0.249 0.249 N